The following is a DFT calculation (PBEsol) of a geometry-optimized ZrFeSCl2 structure.

Geometry as CIF:
```
data_ZrFeSCl2
_cell_length_a 4.3522
_cell_length_b 4.3522
_cell_length_c 4.5685
_cell_angle_alpha 90.00
_cell_angle_beta 90.00
_cell_angle_gamma 90.00
_symmetry_space_group_name_H-M 'P 4/m m m'
_symmetry_Int_Tables_number 123
_symmetry_space_group_name_Hall '-P 4 2'
loop_
_atom_site_label
_atom_site_fract_x
_atom_site_fract_y
_atom_site_fract_z
Zr1 0.0000 0.0000 0.0000
Fe1 0.5000 0.5000 0.5000
S1 0.5000 0.5000 0.0000
Cl1 0.0000 0.5000 0.5000
```

The value obtained for the magnetic moment is 0.26 μB per formula unit. As for the uncorrected formation energy: -0.9 eV per formula unit. The theoretical density is 4.80 Mg/m³.